No. 1
A relaxed Ca4BiAsO crystal. Source: the Alexandria database, functional PBE.

Results
* electronic total energy: -4.683 eV/atom

Cell: 4.6451 4.6451 16.4800 Å, 90.00 90.00 90.00°
With the nearest neighbours (Å) after each atom.
Fractional positions:
Ca (0.0000, 0.0000, 0.0000)  1 As 2.96
Ca (0.0000, 0.0000, 0.3488)  1 O 2.33
Ca (0.0000, 0.5000, 0.1932)  2 O 2.33
Ca (0.0000, 0.5000, 0.6932)  2 O 2.33
Ca (0.5000, 0.0000, 0.1932)  2 O 2.33
Ca (0.5000, 0.0000, 0.6932)  2 O 2.33
Ca (0.5000, 0.5000, 0.5000)  1 As 2.96
Ca (0.5000, 0.5000, 0.8488)  1 O 2.33
Bi (0.0000, 0.0000, 0.5461)  9 Ca 3.25-3.37
Bi (0.5000, 0.5000, 0.0461)  9 Ca 3.25-3.37
As (0.0000, 0.0000, 0.8205)  5 Ca 2.96-3.13
As (0.5000, 0.5000, 0.3205)  5 Ca 2.96-3.13
O (0.0000, 0.0000, 0.2075)  5 Ca 2.33
O (0.5000, 0.5000, 0.7075)  5 Ca 2.33

No. 2
A relaxed Ca3Bi2As2O12 crystal. Source: the Alexandria database, functional PBE.

Results
* electronic total energy: -6.133 eV/atom

Cell: 5.5215 7.2586 7.6851 Å, 77.00 86.19 88.21°
With the nearest neighbours (Å) after each atom.
Fractional positions:
Ca (0.0000, 0.0000, 0.0000)  5 O 2.30-2.48
Ca (0.0100, 0.3600, 0.6017)  6 O 2.28-2.52
Ca (0.5021, 0.5668, 0.8349)  6 O 2.39-2.59
Bi (0.4997, 0.6734, 0.3362)  5 O 2.09-2.34
Bi (0.9787, 0.8686, 0.4904)  4 O 2.21-2.36
As (0.0286, 0.4973, 0.1011)  4 O 1.71-1.78
As (0.5626, 0.0936, 0.7202)  4 O 1.72-1.73
O (0.1003, 0.3283, 0.9826)  1 As 1.71
O (0.1531, 0.6986, 0.9689)  1 As 1.72
O (0.1705, 0.4552, 0.3017)  1 As 1.74
O (0.2474, 0.8927, 0.2563)  2 Bi 2.09-2.23
O (0.2506, 0.0968, 0.7154)  1 As 1.72
O (0.2652, 0.6222, 0.5781)  2 Bi 2.16-2.36, 2 Ca 2.37-2.39
O (0.6721, 0.2490, 0.8359)  1 As 1.73
O (0.6746, 0.8727, 0.8184)  1 As 1.73
O (0.7077, 0.5161, 0.1362)  1 As 1.78
O (0.7144, 0.1615, 0.5121)  1 As 1.73
O (0.7473, 0.6128, 0.5525)  2 Bi 2.18-2.23, 2 Ca 2.28-2.44
O (0.7619, 0.8846, 0.2554)  2 Bi 2.10-2.21, 1 Ca 2.30